Entry from Alexandria via LeMat-Bulk: a relaxed Na2Be2IO6 crystal (PBE).

```
Na2Be2IO6
1.0
5.184 0.000 0.000
-2.592 4.489 0.000
0.000 0.000 5.966
Na Be I O
2 2 1 6
Cartesian
0.000 2.993 2.210
2.592 1.496 3.756
0.000 2.993 5.029
2.592 1.496 0.938
0.000 0.000 0.000
-1.514 3.253 4.791
0.532 1.552 4.791
1.610 0.315 1.175
0.982 4.174 4.791
2.060 2.937 1.175
4.106 1.237 1.175
```

Calculated values
- Space group: P-3 (147)
- DFT total energy: -5.198 eV/atom
- Formation energy from raw total energies: -1436 meV/atom

---

Entry from Alexandria via LeMat-Bulk: a relaxed NaBe4I3O12 crystal (PBE).

```
NaBe4I3O12
1.0
5.220 3.014 2.738
-5.220 3.014 2.738
0.000 -6.028 2.738
Na Be I O
1 4 3 12
Cartesian
0.000 0.000 0.000
-2.302 -3.987 4.107
0.000 0.000 4.107
-2.302 3.987 4.107
4.604 0.000 4.107
-2.860 -1.074 2.738
2.360 -1.940 2.738
0.500 3.014 2.738
-3.086 -2.663 3.822
-4.317 0.000 4.107
-0.763 -4.005 4.392
-1.543 0.000 4.107
-3.086 2.663 4.392
2.158 -3.738 4.107
0.772 -1.336 4.107
-0.763 4.005 3.822
0.772 1.336 4.107
3.850 -1.341 3.822
2.158 3.738 4.107
3.850 1.341 4.392
```

Calculated values
- Space group: R32 (155)
- DFT total energy: -5.214 eV/atom
- Formation energy from raw total energies: -1196 meV/atom

---

Entry from Alexandria via LeMat-Bulk: a relaxed Na2BeIO4 crystal (PBE).

```
Na2BeIO4
1.0
-2.881 2.881 3.093
2.881 -2.881 3.093
2.881 2.881 -3.093
Na Be I O
2 1 1 4
Cartesian
0.000 0.000 0.000
0.000 2.881 1.547
0.000 0.000 3.093
2.881 0.000 1.547
1.836 2.049 -1.023
1.045 0.832 2.070
3.713 1.836 1.023
-0.832 1.045 4.116
```

Calculated values
- Space group: I-4 (82)
- DFT total energy: -4.710 eV/atom
- Formation energy from raw total energies: -1242 meV/atom

---

Entry from Alexandria via LeMat-Bulk: a relaxed NaBeIO2 crystal (PBE).

```
NaBeIO2
1.0
3.791 0.000 0.000
0.000 3.791 0.000
0.000 0.000 5.571
Na Be I O
1 1 1 2
Cartesian
0.000 0.000 0.000
1.895 1.895 2.786
1.895 1.895 0.000
0.000 1.895 2.786
1.895 0.000 2.786
```

Calculated values
- Space group: P4/mmm (123)
- DFT total energy: -3.711 eV/atom
- Formation energy from raw total energies: -409 meV/atom

---

Entry from Alexandria via LeMat-Bulk: a relaxed NaBeIO2 crystal (PBE).

```
NaBeIO2
1.0
4.051 0.000 0.000
0.000 4.051 0.000
0.000 0.000 6.172
Na Be I O
1 1 1 2
Cartesian
0.000 0.000 0.000
2.026 2.026 3.086
0.000 0.000 3.086
0.000 2.026 0.000
2.026 0.000 0.000
```

Calculated values
- Space group: P4/mmm (123)
- DFT total energy: -2.530 eV/atom
- Formation energy from raw total energies: 772 meV/atom

---

Entry from Alexandria via LeMat-Bulk: a relaxed NaBeIO5 crystal (PBE).

```
NaBeIO5
1.0
3.320 -4.277 0.000
3.320 4.277 0.000
-3.317 0.000 6.420
Na Be I O
2 2 2 10
Cartesian
0.833 2.954 4.815
2.491 -2.954 1.605
2.491 2.611 1.605
0.833 -2.611 4.815
3.320 0.000 0.000
1.662 0.000 3.210
-1.684 0.563 5.820
1.378 1.691 2.426
-0.026 -0.563 2.610
3.605 1.691 0.783
0.833 0.752 4.815
2.491 -0.752 1.605
-0.281 -1.691 5.636
3.350 0.563 3.810
1.946 -1.691 3.993
5.008 -0.563 0.600
```

Calculated values
- Space group: C2/c (15)
- DFT total energy: -5.071 eV/atom
- Formation energy from raw total energies: -1148 meV/atom

---

Entry from Alexandria via LeMat-Bulk: a relaxed NaBe2OsI crystal (PBE).

```
NaBe2OsI
1.0
4.374 0.000 0.000
0.000 4.374 0.000
0.000 0.000 5.068
Na Be Os I
1 2 1 1
Cartesian
0.000 0.000 0.000
0.000 2.187 0.000
2.187 0.000 0.000
2.187 2.187 2.534
0.000 0.000 2.534
```

Calculated values
- Space group: P4/mmm (123)
- DFT total energy: -1.988 eV/atom
- Formation energy from raw total energies: 2322 meV/atom

---

Entry from Alexandria via LeMat-Bulk: a relaxed NaBe2PbI crystal (PBE).

```
NaBe2PbI
1.0
5.122 0.000 0.000
0.000 5.122 0.000
0.000 0.000 5.713
Na Be Pb I
1 2 1 1
Cartesian
0.000 0.000 0.000
0.000 2.561 0.000
2.561 0.000 0.000
2.561 2.561 2.856
0.000 0.000 2.856
```

Calculated values
- Space group: P4/mmm (123)
- DFT total energy: -1.639 eV/atom
- Formation energy from raw total energies: 1167 meV/atom

---

Entry from Alexandria via LeMat-Bulk: a relaxed RbNaBeI4 crystal (PBE).

```
RbNaBeI4
1.0
7.482 0.000 0.000
0.000 8.075 0.000
-3.039 0.000 9.298
Rb Na Be I
2 2 2 8
Cartesian
0.503 2.019 4.043
3.940 6.056 5.255
-0.853 2.019 8.789
5.296 6.056 0.510
1.596 6.056 1.694
2.847 2.019 7.604
-2.243 6.056 8.723
-0.279 6.056 3.262
3.019 4.114 2.090
3.019 7.998 2.090
1.425 0.076 7.208
1.425 3.961 7.208
4.723 2.019 6.036
6.686 2.019 0.575
```

Calculated values
- Space group: P2_1/m (11)
- DFT total energy: -2.771 eV/atom
- Formation energy from raw total energies: -1026 meV/atom

---

Entry from Alexandria via LeMat-Bulk: a relaxed NaBeSbI2 crystal (PBE).

```
NaBeSbI2
1.0
5.836 0.000 0.000
0.000 5.836 0.000
0.000 0.000 4.665
Na Be Sb I
1 1 1 2
Cartesian
0.000 0.000 0.000
2.918 2.918 2.332
2.918 2.918 0.000
0.000 2.918 2.332
2.918 0.000 2.332
```

Calculated values
- Space group: P4/mmm (123)
- DFT total energy: -2.511 eV/atom
- Formation energy from raw total energies: -58 meV/atom

---

Entry from Alexandria via LeMat-Bulk: a relaxed NaBeSbI2 crystal (PBE).

```
NaBeSbI2
1.0
5.797 0.000 0.000
0.000 5.797 0.000
0.000 0.000 6.088
Na Be Sb I
1 1 1 2
Cartesian
0.000 0.000 0.000
2.899 2.899 3.044
0.000 0.000 3.044
0.000 2.899 0.000
2.899 0.000 0.000
```

Calculated values
- Space group: P4/mmm (123)
- DFT total energy: -1.644 eV/atom
- Formation energy from raw total energies: 810 meV/atom

---

Entry from Alexandria via LeMat-Bulk: a relaxed Na2TaBeI crystal (PBE).

```
Na2TaBeI
1.0
5.338 0.000 0.000
0.000 5.338 0.000
0.000 0.000 4.974
Na Ta Be I
2 1 1 1
Cartesian
0.000 2.669 0.000
2.669 0.000 0.000
0.000 0.000 2.487
2.669 2.669 0.000
2.669 2.669 2.487
```

Calculated values
- Space group: P4/mmm (123)
- DFT total energy: -2.499 eV/atom
- Formation energy from raw total energies: 1455 meV/atom

---

Entry from Alexandria via LeMat-Bulk: a relaxed NaBeTeI2 crystal (PBE).

```
NaBeTeI2
1.0
5.952 0.000 0.000
0.000 5.952 0.000
0.000 0.000 5.880
Na Be Te I
1 1 1 2
Cartesian
0.000 0.000 0.000
2.976 2.976 2.940
0.000 0.000 2.940
0.000 2.976 0.000
2.976 0.000 0.000
```

Calculated values
- Space group: P4/mmm (123)
- DFT total energy: -1.555 eV/atom
- Formation energy from raw total energies: 702 meV/atom

---

Entry from Alexandria via LeMat-Bulk: a relaxed NaBeTeI2 crystal (PBE).

```
NaBeTeI2
1.0
5.667 0.000 0.000
0.000 5.667 0.000
0.000 0.000 4.905
Na Be Te I
1 1 1 2
Cartesian
0.000 0.000 0.000
2.833 2.833 2.453
2.833 2.833 0.000
0.000 2.833 2.453
2.833 0.000 2.453
```

Calculated values
- Space group: P4/mmm (123)
- DFT total energy: -2.477 eV/atom
- Formation energy from raw total energies: -220 meV/atom

---

Entry from Alexandria via LeMat-Bulk: a relaxed NaBeTe2I crystal (PBE).

```
NaBeTe2I
1.0
5.601 0.000 0.000
0.000 5.601 0.000
0.000 0.000 5.706
Na Be Te I
1 1 2 1
Cartesian
0.000 0.000 0.000
2.801 2.801 2.853
0.000 2.801 0.000
2.801 0.000 0.000
0.000 0.000 2.853
```

Calculated values
- Space group: P4/mmm (123)
- DFT total energy: -1.651 eV/atom
- Formation energy from raw total energies: 925 meV/atom

---

Entry from Alexandria via LeMat-Bulk: a relaxed NaBeTe2I crystal (PBE).

```
NaBeTe2I
1.0
4.785 0.000 0.000
0.000 4.785 0.000
0.000 0.000 7.843
Na Be Te I
1 1 2 1
Cartesian
0.000 0.000 0.000
2.392 2.392 3.921
0.000 2.392 3.921
2.392 0.000 3.921
2.392 2.392 0.000
```

Calculated values
- Space group: P4/mmm (123)
- DFT total energy: -2.733 eV/atom
- Formation energy from raw total energies: -157 meV/atom

---

Entry from Alexandria via LeMat-Bulk: a relaxed NaTiBeI2 crystal (PBE).

```
NaTiBeI2
1.0
5.622 0.000 0.000
0.000 5.622 0.000
0.000 0.000 4.808
Na Ti Be I
1 1 1 2
Cartesian
0.000 0.000 0.000
2.811 2.811 2.404
2.811 2.811 0.000
0.000 2.811 2.404
2.811 0.000 2.404
```

Calculated values
- Space group: P4/mmm (123)
- DFT total energy: -3.097 eV/atom
- Formation energy from raw total energies: 111 meV/atom

---

Entry from Alexandria via LeMat-Bulk: a relaxed NaBe2TlI6 crystal (PBE).

```
NaBe2TlI6
1.0
7.679 -8.293 0.000
7.679 8.293 0.000
-4.788 0.000 7.224
Na Be Tl I
2 4 2 12
Cartesian
4.088 4.144 5.418
6.482 -4.144 1.806
0.273 2.998 5.299
2.668 -2.998 1.687
7.902 2.998 5.537
10.296 -2.998 1.925
6.482 4.062 1.806
4.088 -4.062 5.418
4.189 6.432 3.184
2.780 3.012 1.670
8.775 6.432 0.428
2.030 1.841 6.265
0.386 -3.012 5.282
6.145 1.841 4.572
4.425 -1.841 2.652
10.184 3.012 1.942
8.539 -1.841 0.960
1.794 -6.432 6.796
7.789 -3.012 5.554
6.381 -6.432 4.040
```

Calculated values
- Space group: C2/c (15)
- DFT total energy: -2.724 eV/atom
- Formation energy from raw total energies: -680 meV/atom

---

Entry from Alexandria via LeMat-Bulk: a relaxed NaBeTlI4 crystal (PBE).

```
NaBeTlI4
1.0
7.540 0.000 0.000
0.000 7.933 0.000
-2.807 0.000 8.867
Na Be Tl I
2 2 2 8
Cartesian
1.628 1.983 0.520
3.104 5.950 8.347
-0.598 5.950 7.205
5.331 1.983 1.662
0.270 1.983 4.996
4.463 5.950 3.870
-2.044 4.026 6.785
-2.044 7.874 6.785
1.280 5.950 5.673
2.933 5.950 0.639
1.800 1.983 8.228
3.453 1.983 3.194
6.776 0.059 2.081
6.776 3.907 2.081
```

Calculated values
- Space group: P2_1/m (11)
- DFT total energy: -2.717 eV/atom
- Formation energy from raw total energies: -773 meV/atom

---

Entry from Alexandria via LeMat-Bulk: a relaxed NaYBeI2 crystal (PBE).

```
NaYBeI2
1.0
5.522 0.000 0.000
0.000 5.522 0.000
0.000 0.000 5.188
Na Y Be I
1 1 1 2
Cartesian
0.000 0.000 0.000
2.761 2.761 0.000
2.761 2.761 2.594
0.000 2.761 2.594
2.761 0.000 2.594
```

Calculated values
- Space group: P4/mmm (123)
- DFT total energy: -2.791 eV/atom
- Formation energy from raw total energies: 131 meV/atom